Compound: FeRhAu2
Source: Alexandria via LeMat-Bulk
Functional: GGA-PBEsol
Structure: optimized geometry

Computed properties:
- ΔE to the lowest computed polymorph: 0.097 eV per atom
- DOS at the Fermi energy: 0.863 states/eV/atom
- Energy relative to the elements: 0.17 eV/atom

Cell: 2.831 4.725 4.725 Å, 109.73 90.00 90.00°
Atoms (fractional coordinates):
Rh: 0.500 0.000 0.000
Au: 0.000 0.000 0.500
Au: 0.000 0.500 0.000
Fe: 0.500 0.500 0.500

=====

Compound: FeRh2Au
Source: Alexandria via LeMat-Bulk
Functional: GGA-PBEsol
Structure: optimized geometry

Computed properties:
- DOS at the Fermi energy: 1.225 states/eV/atom
- Energy relative to the elements: 0.16 eV/atom

Cell: 2.796 4.592 4.592 Å, 107.70 90.00 90.00°
Atoms (fractional coordinates):
Fe: 0.500 0.500 0.500
Au: 0.500 0.000 0.000
Rh: 0.000 0.000 0.500
Rh: 0.000 0.500 0.000